(1)
Material: Ac2In3Rh
Method: DFT, PBE-GGA
State: relaxed

a b c (Å): 4.164 4.931 8.582
angles (deg): 90.00 90.00 90.00
Atoms (fractional coordinates):
Ac1 0.000 0.000 0.000
Ac2 0.000 0.500 0.435
In1 0.500 0.000 0.607
In2 0.500 0.500 0.131
In3 0.500 0.500 0.789
Rh1 0.500 0.000 0.278

- Total moment: 0.00 Bohr magnetons per cell
- VASP energy: -4.469 eV per atom
- Formation energy from the elements: -0.51 eV per atom
- Symmetry: Pmm2

***

(2)
Material: AcIn4Rh
Method: DFT, PBE-GGA
State: relaxed

a b c (Å): 8.525 4.528 7.748
angles (deg): 90.00 90.00 90.00
Atoms (fractional coordinates):
Ac1 0.250 0.000 0.109
Ac2 0.750 0.000 0.891
In1 0.000 0.000 0.500
In2 0.063 0.500 0.807
In3 0.250 0.500 0.448
In4 0.437 0.500 0.807
In5 0.500 0.000 0.500
In6 0.563 0.500 0.193
In7 0.750 0.500 0.552
In8 0.937 0.500 0.193
Rh1 0.250 0.000 0.701
Rh2 0.750 0.000 0.299

- Total moment: 0.00 Bohr magnetons per cell
- VASP energy: -4.184 eV per atom
- Formation energy from the elements: -0.45 eV per atom
- Symmetry: Pmma

***

(3)
Material: AcIn4Rh2
Method: DFT, PBE-GGA
State: relaxed

a b c (Å): 18.718 4.648 7.355
angles (deg): 90.00 90.00 90.00
Atoms (fractional coordinates):
Ac1 0.139 0.250 0.032
Ac2 0.361 0.750 0.532
Ac3 0.639 0.250 0.468
Ac4 0.861 0.750 0.968
In1 0.034 0.750 0.839
In2 0.071 0.250 0.504
In3 0.186 0.750 0.337
In4 0.194 0.750 0.736
In5 0.306 0.250 0.236
In6 0.314 0.250 0.837
In7 0.429 0.750 0.004
In8 0.466 0.250 0.339
In9 0.534 0.750 0.661
In10 0.571 0.250 0.996
In11 0.686 0.750 0.163
In12 0.694 0.750 0.764
In13 0.806 0.250 0.264
In14 0.814 0.250 0.663
In15 0.929 0.750 0.496
In16 0.966 0.250 0.161
Rh1 0.040 0.750 0.248
Rh2 0.218 0.250 0.539
Rh3 0.282 0.750 0.039
Rh4 0.460 0.250 0.748
Rh5 0.540 0.750 0.252
Rh6 0.718 0.250 0.961
Rh7 0.782 0.750 0.461
Rh8 0.960 0.250 0.752

- Polymorph energy (0 for the lowest one): 0.00 eV/f.u.
- Total moment: 0.00 Bohr magnetons per cell
- VASP energy: -4.707 eV per atom
- Formation energy from the elements: -0.46 eV per atom
- Symmetry: Pnma

***

(4)
Material: Ac2In6RuRh
Method: DFT, PBE-GGA
State: relaxed

a b c (Å): 7.296 7.296 7.273
angles (deg): 119.84 119.84 89.96
Atoms (fractional coordinates):
Ac1 0.250 0.750 0.000
Ac2 0.750 0.250 0.000
In1 0.250 0.250 0.000
In2 0.250 0.250 0.499
In3 0.250 0.750 0.500
In4 0.750 0.250 0.500
In5 0.750 0.750 0.000
In6 0.750 0.750 0.501
Ru1 0.500 0.500 0.500
Rh1 0.000 0.000 0.500

- Total moment: 0.00 Bohr magnetons per cell
- VASP energy: -4.392 eV per atom
- Formation energy from the elements: -0.26 eV per atom
- Symmetry: C2/m

***

(5)
Material: AcInSbRh3
Method: DFT, PBE-GGA
State: relaxed

a b c (Å): 8.857 8.857 5.940
angles (deg): 90.00 90.00 141.13
Atoms (fractional coordinates):
Ac1 0.241 0.759 0.750
Ac2 0.759 0.241 0.250
In1 0.103 0.897 0.250
In2 0.897 0.103 0.750
Sb1 0.415 0.585 0.250
Sb2 0.585 0.415 0.750
Rh1 0.239 0.239 0.000
Rh2 0.239 0.239 0.500
Rh3 0.261 0.739 0.250
Rh4 0.739 0.261 0.750
Rh5 0.761 0.761 0.000
Rh6 0.761 0.761 0.500

- Total moment: 0.00 Bohr magnetons per cell
- VASP energy: -5.979 eV per atom
- Symmetry: Cmcm

***

(6)
Material: Ac3InSb2Rh9
Method: DFT, PBE-GGA
State: relaxed

a b c (Å): 6.602 6.602 9.749
angles (deg): 90.00 90.00 120.00
Atoms (fractional coordinates):
Ac1 0.000 0.000 0.000
Ac2 0.333 0.667 0.731
Ac3 0.667 0.333 0.269
In1 0.000 0.000 0.500
Sb1 0.333 0.667 0.178
Sb2 0.667 0.333 0.822
Rh1 0.000 0.500 0.000
Rh2 0.133 0.266 0.269
Rh3 0.133 0.867 0.269
Rh4 0.266 0.133 0.731
Rh5 0.500 0.000 0.000
Rh6 0.500 0.500 0.000
Rh7 0.734 0.867 0.269
Rh8 0.867 0.133 0.731
Rh9 0.867 0.734 0.731

- Total moment: 0.00 Bohr magnetons per cell
- VASP energy: -6.250 eV per atom
- Symmetry: P-3m1

***

(7)
Material: AcInSiRh3
Method: DFT, PBE-GGA
State: relaxed

a b c (Å): 7.957 7.957 6.087
angles (deg): 90.00 90.00 136.08
Atoms (fractional coordinates):
Ac1 0.237 0.763 0.750
Ac2 0.763 0.237 0.250
In1 0.109 0.891 0.250
In2 0.891 0.109 0.750
Si1 0.442 0.558 0.250
Si2 0.558 0.442 0.750
Rh1 0.249 0.249 0.000
Rh2 0.249 0.249 0.500
Rh3 0.286 0.714 0.250
Rh4 0.714 0.286 0.750
Rh5 0.751 0.751 0.000
Rh6 0.751 0.751 0.500

- Total moment: 0.00 Bohr magnetons per cell
- VASP energy: -6.279 eV per atom
- Symmetry: Cmcm

***

(8)
Material: AcInSi2Rh5
Method: DFT, PBE-GGA
State: relaxed

a b c (Å): 4.179 4.179 10.085
angles (deg): 90.00 90.00 90.00
Atoms (fractional coordinates):
Ac1 0.000 0.000 0.000
In1 0.000 0.000 0.500
Si1 0.500 0.500 0.230
Si2 0.500 0.500 0.770
Rh1 0.000 0.500 0.331
Rh2 0.000 0.500 0.669
Rh3 0.500 0.000 0.331
Rh4 0.500 0.000 0.669
Rh5 0.500 0.500 0.000

- Total moment: 0.00 Bohr magnetons per cell
- VASP energy: -6.587 eV per atom
- Symmetry: P4/mmm